(1)
Here is a relaxed structure of Dy4Y2LuNi2Te2 from the Open Quantum Materials Database. Energies are from PBE.

Symmetry = Imm2, No. 44
VASP energy = -5.51 eV per atom
Energy above the lowest structure with this stoichiometry = 1.4 meV/atom
Spin magnetization = 0.0 μB/f.u.

Cell lengths 9.3482, 9.3482, 9.3482 Å; angles 156.30, 66.88, 118.49 degrees
With the nearest neighbours (Å) after each atom.
Fractional positions:
1 Dy 0.4119 0.0963 0.3156  2 Ni 2.78
2 Dy 0.1004 0.7466 0.3538  2 Ni 2.83, 2 Te 3.15
3 Dy 0.3928 0.7466 0.6462  2 Ni 2.83, 2 Te 3.15
4 Dy 0.7807 0.0963 0.6844  2 Ni 2.78
5 Lu 0.4771 0.4771 0.0000  3 Te 3.17-3.21
6 Ni 0.6430 0.4051 0.2379  4 Dy 2.78-2.83, 2 Y 2.80
7 Ni 0.1672 0.4051 0.7621  4 Dy 2.78-2.83, 2 Y 2.80
8 Te 0.1416 0.1416 0.0000  2 Y 3.12, 4 Dy 3.15, 1 Lu 3.21
9 Te 0.7409 0.2409 0.5000  2 Lu 3.17, 4 Y 3.17, 2 Dy 3.19
10 Y 0.0264 0.8952 0.1312  2 Ni 2.80, 1 Te 3.12
11 Y 0.7640 0.8952 0.8688  2 Ni 2.80, 1 Te 3.12

---

(2)
Here is a relaxed structure of Tl2W from the Open Quantum Materials Database. Energies are from PBE.

Symmetry = Fd-3m, No. 227
VASP energy = -4.01 eV per atom
Energy above the lowest structure with this stoichiometry = 0.0 meV/atom
Spin magnetization = 1.3 μB/f.u.

Cell lengths 5.8206, 5.8206, 5.8206 Å; angles 60.00, 60.00, 60.00 degrees
With the nearest neighbours (Å) after each atom.
Fractional positions:
1 Tl 0.6250 0.6250 0.1250  6 Tl 2.91
2 Tl 0.6250 0.1250 0.6250  6 Tl 2.91
3 Tl 0.1250 0.6250 0.6250  6 Tl 2.91
4 Tl 0.6250 0.6250 0.6250  6 Tl 2.91
5 W 0.0000 0.0000 0.0000  12 Tl 3.41, 4 W 3.56
6 W 0.2500 0.2500 0.2500  12 Tl 3.41, 4 W 3.56

---

(3)
Here is a relaxed structure of Y6TcBi2 from the Open Quantum Materials Database. Energies are from PBE.

Symmetry = P-62m, No. 189
VASP energy = -6.87 eV per atom
Spin magnetization = 0.0 μB/f.u.

Cell lengths 4.2932, 8.3100, 8.3100 Å; angles 120.01, 90.00, 90.00 degrees
With the nearest neighbours (Å) after each atom.
Fractional positions:
1 Bi 0.0000 0.6667 0.3333  9 Y 3.27-3.34
2 Bi 0.0000 0.3333 0.6667  9 Y 3.27-3.34
3 Tc 0.5000 0.0002 0.0002  6 Y 2.89
4 Y 0.5000 0.3933 0.0000  1 Tc 3.27, 4 Bi 3.34, 4 Y 3.57
5 Y 0.0000 0.7667 0.0000  2 Tc 2.89
6 Y 0.0000 0.2335 0.2335  2 Tc 2.89
7 Y 0.5000 0.0000 0.3933  1 Tc 3.27, 4 Bi 3.34, 4 Y 3.57
8 Y 0.5000 0.6066 0.6066  1 Tc 3.27, 4 Bi 3.34, 4 Y 3.57
9 Y 0.0000 0.0000 0.7667  2 Tc 2.89

---

(4)
Here is a relaxed structure of Cs3BaCu2C7S7N7 from the Open Quantum Materials Database. Energies are from PBE.

Symmetry = I-42m, No. 121
VASP energy = -6.35 eV per atom

Cell lengths 12.6867, 12.6867, 12.6867 Å; angles 128.80, 128.80, 75.33 degrees
With the nearest neighbours (Å) after each atom.
Fractional positions:
1 Ba 0.4010 0.4010 0.0000  9 N 2.86-2.92
2 Ba 0.5990 0.5990 0.0000  9 N 2.86-2.92
3 C 0.1997 0.1997 0.0000  1 N 1.18
4 C 0.7184 0.2921 0.0000  1 N 1.18
5 C 0.2921 0.7184 0.0000  1 N 1.18
6 C 0.8003 0.8003 0.0000  1 N 1.18
7 C 0.6754 0.2762 0.2477  1 N 1.19
8 C 0.2762 0.6754 0.2477  1 N 1.19
9 C 0.9715 0.7238 0.3992  1 N 1.19
10 C 0.7238 0.9715 0.3992  1 N 1.19
11 C 0.7079 0.7079 0.4264  1 N 1.18
12 C 0.2816 0.2816 0.5736  1 N 1.18
13 C 0.5723 0.3246 0.6008  1 N 1.19
14 C 0.3246 0.5723 0.6008  1 N 1.19
15 C 0.4277 0.0285 0.7523  1 N 1.19
16 C 0.0285 0.4277 0.7523  1 N 1.19
17 Cs 0.9698 0.4372 0.0000  2 N 3.13
18 Cs 0.4372 0.9698 0.0000  2 N 3.13
19 Cs 0.0302 0.0302 0.4675  2 N 3.13
20 Cs 0.5000 0.0000 0.5000  8 C 3.64-3.92, 8 S 3.70-4.03, 4 N 4.04
21 Cs 0.0000 0.5000 0.5000  8 C 3.64-3.92, 8 S 3.70-4.03, 4 N 4.04
22 Cs 0.5628 0.5628 0.5325  2 N 3.13
23 Cu 0.7573 0.0522 0.0000  4 S 2.31-2.34
24 Cu 0.0522 0.7573 0.0000  4 S 2.31-2.34
25 Cu 0.2427 0.2427 0.2949  4 S 2.31-2.34
26 Cu 0.9478 0.9478 0.7051  4 S 2.31-2.34
27 N 0.2586 0.2586 0.0000  1 C 1.18
28 N 0.6363 0.3619 0.0000  1 C 1.18
29 N 0.3619 0.6363 0.0000  1 C 1.18
30 N 0.7414 0.7414 0.0000  1 C 1.18
31 N 0.8937 0.6451 0.2462  1 C 1.19
32 N 0.6451 0.8937 0.2462  1 C 1.19
33 N 0.6011 0.3549 0.2487  1 C 1.19
34 N 0.3549 0.6011 0.2487  1 C 1.19
35 N 0.6381 0.6381 0.2744  1 C 1.18
36 N 0.3637 0.3637 0.7256  1 C 1.18
37 N 0.3525 0.1063 0.7513  1 C 1.19
38 N 0.1063 0.3525 0.7513  1 C 1.19
39 N 0.6475 0.3989 0.7538  1 C 1.19
40 N 0.3989 0.6475 0.7538  1 C 1.19
41 S 0.1174 0.1174 0.0000  1 C 1.65
42 S 0.8349 0.1987 0.0000  1 C 1.64
43 S 0.1987 0.8349 0.0000  1 C 1.64
44 S 0.8826 0.8826 0.0000  1 C 1.65
45 S 0.7789 0.1683 0.2486  1 C 1.64
46 S 0.1683 0.7789 0.2486  1 C 1.64
47 S 0.1651 0.1651 0.3639  1 C 1.64
48 S 0.4696 0.2211 0.3893  1 C 1.64
49 S 0.2211 0.4696 0.3893  1 C 1.64
50 S 0.8317 0.0803 0.6107  1 C 1.64
51 S 0.0803 0.8317 0.6107  1 C 1.64
52 S 0.8013 0.8013 0.6361  1 C 1.64
53 S 0.9197 0.5304 0.7514  1 C 1.64
54 S 0.5304 0.9197 0.7514  1 C 1.64

---

(5)
Here is a relaxed structure of Au2Br from the Open Quantum Materials Database. Energies are from PBE.

Symmetry = Fm-3m, No. 225
VASP energy = -2.14 eV per atom
Energy above the lowest structure with this stoichiometry = 249.1 meV/atom

Cell lengths 4.6399, 4.6399, 4.6399 Å; angles 60.00, 60.00, 60.00 degrees
With the nearest neighbours (Å) after each atom.
Fractional positions:
1 Au 0.2500 0.2500 0.2500  4 Br 2.84
2 Au 0.7500 0.7500 0.7500  4 Br 2.84
3 Br 0.0000 0.0000 0.0000  8 Au 2.84

---

(6)
Here is a relaxed structure of LaGdPI2 from the Open Quantum Materials Database. Energies are from PBE.

Symmetry = P3m1, No. 156
VASP energy = -5.18 eV per atom
Spin magnetization = 0.0 μB/f.u.

Cell lengths 4.2335, 4.2335, 11.1342 Å; angles 90.00, 90.00, 120.00 degrees
With the nearest neighbours (Å) after each atom.
Fractional positions:
1 Gd 0.0000 0.0000 0.8591  3 P 2.85, 3 I 3.18
2 I 0.0000 0.0000 0.3346  3 La 3.27
3 I 0.3333 0.6667 0.6768  3 Gd 3.18
4 La 0.3333 0.6667 0.1392  3 P 2.95, 3 I 3.27
5 P 0.6667 0.3333 0.9903  3 Gd 2.85, 3 La 2.95

---

(7)
Here is a relaxed structure of KGdCoSe3 from the Open Quantum Materials Database. Energies are from PBE.

Symmetry = Pnma, No. 62
VASP energy = -4.99 eV per atom
Energy above the lowest structure with this stoichiometry = 65.1 meV/atom
Spin magnetization = 2.7 μB/f.u.

Cell lengths 4.2378, 11.4972, 12.4141 Å; angles 90.00, 90.00, 90.00 degrees
With the nearest neighbours (Å) after each atom.
Fractional positions:
1 Co 0.7500 0.7475 0.2065  4 Se 2.38-2.42
2 Co 0.7500 0.2475 0.2935  4 Se 2.38-2.42
3 Co 0.2500 0.7525 0.7065  4 Se 2.38-2.42
4 Co 0.2500 0.2525 0.7935  4 Se 2.38-2.42
5 Gd 0.2500 0.4811 0.1767  7 Se 2.91-3.12
6 Gd 0.2500 0.9811 0.3233  7 Se 2.91-3.12
7 Gd 0.7500 0.0189 0.6767  7 Se 2.91-3.12
8 Gd 0.7500 0.5189 0.8233  7 Se 2.91-3.12
9 K 0.7500 0.1757 0.0040  7 Se 3.28-3.37, 2 Co 3.48
10 K 0.7500 0.6757 0.4960  7 Se 3.28-3.37, 2 Co 3.48
11 K 0.2500 0.3243 0.5040  7 Se 3.28-3.37, 2 Co 3.48
12 K 0.2500 0.8243 0.9960  7 Se 3.28-3.37, 2 Co 3.48
13 Se 0.7500 0.6074 0.0608  1 Co 2.42
14 Se 0.7500 0.9494 0.1653  1 Co 2.38
15 Se 0.2500 0.2187 0.2049  2 Co 2.41
16 Se 0.2500 0.7187 0.2951  2 Co 2.41
17 Se 0.7500 0.4494 0.3347  1 Co 2.38
18 Se 0.7500 0.1074 0.4392  1 Co 2.42
19 Se 0.2500 0.8926 0.5608  1 Co 2.42
20 Se 0.2500 0.5506 0.6653  1 Co 2.38
21 Se 0.7500 0.2813 0.7049  2 Co 2.41
22 Se 0.7500 0.7813 0.7951  2 Co 2.41
23 Se 0.2500 0.0506 0.8347  1 Co 2.38
24 Se 0.2500 0.3926 0.9392  1 Co 2.42

---

(8)
Here is a relaxed structure of KLaHgO3 from the Open Quantum Materials Database. Energies are from PBE.

Symmetry = Cmcm, No. 63
VASP energy = -5.38 eV per atom
Spin magnetization = 0.0 μB/f.u.

Cell lengths 9.2269, 6.9622, 6.9622 Å; angles 147.98, 90.00, 90.00 degrees
With the nearest neighbours (Å) after each atom.
Fractional positions:
1 Hg 0.2500 0.6169 0.3831  2 O 2.03
2 Hg 0.7500 0.3831 0.6169  2 O 2.03
3 K 0.7500 0.6752 0.3248  4 O 2.70
4 K 0.2500 0.3248 0.6752  4 O 2.70
5 La 0.0000 0.0000 0.0000  6 O 2.35-2.49
6 La 0.5000 0.0000 0.0000  6 O 2.35-2.49
7 O 0.2500 0.9667 0.0333  2 La 2.35
8 O 0.0298 0.6164 0.3836  1 Hg 2.03
9 O 0.4702 0.6164 0.3836  1 Hg 2.03
10 O 0.5298 0.3836 0.6164  1 Hg 2.03
11 O 0.9702 0.3836 0.6164  1 Hg 2.03
12 O 0.7500 0.0333 0.9667  2 La 2.35

---

(9)
Here is a relaxed structure of LuTcNiB from the Open Quantum Materials Database. Energies are from PBE.

Symmetry = F-43m, No. 216
VASP energy = -6.62 eV per atom
Energy above the lowest structure with this stoichiometry = 0.0 meV/atom
Spin magnetization = 0.1 μB/f.u.

Cell lengths 4.2526, 4.2526, 4.2526 Å; angles 60.00, 60.00, 60.00 degrees
With the nearest neighbours (Å) after each atom.
Fractional positions:
1 B 0.0000 0.0000 0.0000  4 Tc 2.60, 4 Lu 2.60
2 Lu 0.2500 0.2500 0.2500  4 Ni 2.60, 4 B 2.60
3 Ni 0.5000 0.5000 0.5000  4 Tc 2.60, 4 Lu 2.60
4 Tc 0.7500 0.7500 0.7500  4 Ni 2.60, 4 B 2.60

---

(10)
Here is a relaxed structure of MgFeSiGe from the Open Quantum Materials Database. Energies are from PBE.

Symmetry = F-43m, No. 216
VASP energy = -4.81 eV per atom
Energy above the lowest structure with this stoichiometry = 0.0 meV/atom
Spin magnetization = 0.0 μB/f.u.

Cell lengths 4.2990, 4.2990, 4.2990 Å; angles 60.00, 60.00, 60.00 degrees
With the nearest neighbours (Å) after each atom.
Fractional positions:
1 Fe 0.2500 0.2500 0.2500  4 Ge 2.63, 4 Si 2.63
2 Ge 0.0000 0.0000 0.0000  4 Fe 2.63, 4 Mg 2.63
3 Mg 0.7500 0.7500 0.7500  4 Ge 2.63, 4 Si 2.63
4 Si 0.5000 0.5000 0.5000  4 Fe 2.63, 4 Mg 2.63

---

- VASP energy of number 5 (Au2Br)?
  -2.14 eV per atom

---

- Which of these has the lowest VASP energy?
  Y6TcBi2

---

What did the tenth record say?
Here is a relaxed structure of MgFeSiGe from the Open Quantum Materials Database. Energies are from PBE.

Symmetry = F-43m, No. 216
VASP energy = -4.81 eV per atom
Energy above the lowest structure with this stoichiometry = 0.0 meV/atom
Spin magnetization = 0.0 μB/f.u.

Cell lengths 4.2990, 4.2990, 4.2990 Å; angles 60.00, 60.00, 60.00 degrees
With the nearest neighbours (Å) after each atom.
Fractional positions:
1 Fe 0.2500 0.2500 0.2500  4 Ge 2.63, 4 Si 2.63
2 Ge 0.0000 0.0000 0.0000  4 Fe 2.63, 4 Mg 2.63
3 Mg 0.7500 0.7500 0.7500  4 Ge 2.63, 4 Si 2.63
4 Si 0.5000 0.5000 0.5000  4 Fe 2.63, 4 Mg 2.63